Sc2Zn3Pd4: optimized geometry, PBE-GGA.

Results
energy of formation: -0.712 eV/atom
energy above the most stable polymorph in this dataset: 0 meV/atom

Cell: 4.734 4.734 8.382 Å, 102.26 102.26 51.69°
Fractional positions:
Sc  0.180  0.180  0.223
Sc  0.820  0.820  0.777
Zn  0.152  0.152  0.559
Zn  0.500  0.500  0.000
Zn  0.848  0.848  0.441
Pd  0.158  0.158  0.889
Pd  0.477  0.477  0.663
Pd  0.523  0.523  0.337
Pd  0.842  0.842  0.111